Record 1
Compound: La4Bi2Rh
Source: Alexandria
Functional: PBE
Structure: relaxed

The structure belongs to space group I4/mmm (No. 139); the cell edges are 5.272, 5.272 and 17.677 Å and the angles 90.00°, 90.00° and 90.00°. The inequivalent atoms are La at (0.000, 0.000, 0.174), La at (0.000, 0.500, 0.000), Bi at (0.000, 0.000, 0.361) and Rh at (0.000, 0.000, 0.000).

The total energy is -5.713 eV/atom. Its total moment is 0.0 μB/f.u. The calculation puts the volume at 491 Å³/cell.

***

Record 2
Compound: Nd12Sm2Ho5
Source: Alexandria
Functional: PBE
Structure: relaxed

The structure belongs to space group C2/m (No. 12); the cell edges are 18.039, 11.764 and 6.253 Å and the angles 90.00°, 102.53° and 90.00°. The inequivalent atoms are Nd at (0.056, 0.000, 0.273), Nd at (0.104, 0.251, 0.615), Nd at (0.122, 0.500, 0.998), Nd at (0.198, 0.241, 0.200), Sm at (0.000, 0.272, 0.000), Ho at (0.000, 0.500, 0.500), Ho at (0.178, 0.000, 0.859) and Ho at (0.215, 0.500, 0.550).

The total energy is -4.615 eV/atom. Its total moment is 0.0 μB/f.u. The calculation puts the volume at 1295 Å³/cell.

***

Record 3
Compound: Na3Hg2S2Cl3
Source: Alexandria
Functional: PBE
Structure: relaxed

The structure belongs to space group I4/mmm (No. 139); the cell edges are 4.277, 4.277 and 29.224 Å and the angles 90.00°, 90.00° and 90.00°. The inequivalent atoms are Na at (0.000, 0.000, 0.000), Na at (0.000, 0.000, 0.408), Hg at (0.000, 0.500, 0.250), S at (0.000, 0.000, 0.304), Cl at (0.000, 0.000, 0.096) and Cl at (0.000, 0.000, 0.500).

The total energy is -2.801 eV/atom. Its total moment is 0.0 μB/f.u. The calculation puts the volume at 535 Å³/cell. The value obtained for the formation energy from raw total energies is -0.97 eV per atom.

***

Record 4
Compound: Ta2PtPb
Source: Alexandria
Functional: PBE
Structure: relaxed

The structure belongs to space group F-43m (No. 216); the cell edges are 6.739, 6.739 and 6.739 Å and the angles 90.00°, 90.00° and 90.00°. The inequivalent atoms are Ta at (0.000, 0.000, 0.000), Ta at (0.250, 0.250, 0.250), Pt at (0.000, 0.000, 0.500) and Pb at (0.250, 0.250, 0.750).

The total energy is -7.992 eV/atom. Its total moment is 0.0 μB/f.u. The calculation puts the volume at 306 Å³/cell.

***

Record 5
Compound: Pr6Dy2HoSc
Source: Alexandria
Functional: PBE
Structure: relaxed

The structure belongs to space group C2/m (No. 12); the cell edges are 10.311, 7.585 and 9.030 Å and the angles 90.00°, 102.76° and 90.00°. The inequivalent atoms are Pr at (0.133, 0.218, 0.283), Pr at (0.158, 0.500, 0.944), Dy at (0.130, 0.000, 0.639), Ho at (0.000, 0.500, 0.500) and Sc at (0.000, 0.000, 0.000).

The total energy is -4.660 eV/atom. Its total moment is 0.0 μB/f.u. The calculation puts the volume at 689 Å³/cell.

***

Record 6
Compound: La2NdHo5
Source: Alexandria
Functional: PBE
Structure: relaxed

The structure belongs to space group Immm (No. 71); the cell edges are 3.552, 11.276 and 13.257 Å and the angles 90.00°, 90.00° and 90.00°. The inequivalent atoms are La at (0.000, 0.000, 0.241), Nd at (0.000, 0.500, 0.500), Ho at (0.000, 0.000, 0.500) and Ho at (0.000, 0.268, 0.130).

The total energy is -4.626 eV/atom. Its total moment is 0.0 μB/f.u. The calculation puts the volume at 531 Å³/cell.

***

Record 7
Compound: ReAg2
Source: Alexandria
Functional: PBE
Structure: relaxed

The structure belongs to space group Cm (No. 8); the cell edges are 10.966, 2.760 and 6.976 Å and the angles 90.00°, 106.65° and 90.00°. The inequivalent atoms are Re at (0.000, 0.000, 0.000), Re at (0.136, 0.500, 0.289), Ag at (0.091, 0.500, 0.701), Ag at (0.272, 0.000, 0.035), Ag at (0.313, 0.000, 0.648) and Ag at (0.422, 0.500, 0.374).

The total energy is -5.480 eV/atom. Its total moment is 0.0 μB/f.u. The calculation puts the volume at 202 Å³/cell.

***

Record 8
Compound: ZrSb2Te
Source: Alexandria
Functional: PBE
Structure: relaxed

The structure belongs to space group Cmm2 (No. 35); the cell edges are 4.186, 5.080 and 10.412 Å and the angles 90.00°, 90.00° and 90.00°. The inequivalent atoms are Zr at (0.000, 0.000, 0.000), Sb at (0.000, 0.000, 0.478), Sb at (0.000, 0.500, 0.206) and Te at (0.000, 0.500, 0.804).

The total energy is -5.133 eV/atom. Its total moment is 0.0 μB/f.u. The calculation puts the volume at 221 Å³/cell. The value obtained for the formation energy from raw total energies is -0.15 eV per atom.

***

Record 9
Compound: Li2Nd2In5
Source: Alexandria
Functional: PBE
Structure: relaxed

The structure belongs to space group P4/mmm (No. 123); the cell edges are 4.731, 4.731 and 9.717 Å and the angles 90.00°, 90.00° and 90.00°. The inequivalent atoms are Li at (0.000, 0.000, 0.119), Nd at (0.500, 0.500, 0.000), Nd at (0.500, 0.500, 0.500), In at (0.000, 0.000, 0.500) and In at (0.000, 0.500, 0.253).

The total energy is -3.361 eV/atom. Its total moment is 0.0 μB/f.u. The calculation puts the volume at 218 Å³/cell.

***

Record 10
Compound: Sr3Zn2RhO6
Source: Alexandria
Functional: PBE
Structure: relaxed

The structure belongs to space group P-3m1 (No. 164); the cell edges are 5.7697, 5.7697 and 6.4648 Å and the angles 90.00°, 90.00° and 120.00°. The inequivalent atoms are Sr at (0.0000, 0.0000, 0.0000), Sr at (0.3333, 0.6667, 0.6220), Zn at (0.3333, 0.6667, 0.1560), Rh at (0.0000, 0.0000, 0.5000) and O at (0.1644, 0.3287, 0.3090).

The total energy is -5.379 eV/atom. Its total moment is 0.0 μB/f.u. The calculation puts the volume at 186 Å³/cell. The value obtained for the formation energy from raw total energies is -1.65 eV per atom.

***

Record 11
Compound: LaReAs2
Source: Alexandria
Functional: PBE
Structure: relaxed

The structure belongs to space group Fm-3m (No. 225); the cell edges are 6.762, 6.762 and 6.762 Å and the angles 90.00°, 90.00° and 90.00°. The inequivalent atoms are La at (0.000, 0.000, 0.000), Re at (0.000, 0.000, 0.500) and As at (0.250, 0.250, 0.250).

The total energy is -6.907 eV/atom. Its total moment is 0.0 μB/f.u. The calculation puts the volume at 309 Å³/cell.

***

Record 12
Compound: FeTcNi2
Source: Alexandria
Functional: PBE
Structure: relaxed

The structure belongs to space group P2/m (No. 10); the cell edges are 2.540, 3.735 and 5.077 Å and the angles 90.00°, 90.24° and 90.00°. The inequivalent atoms are Fe at (0.000, 0.000, 0.000), Tc at (0.000, 0.000, 0.500) and Ni at (0.499, 0.500, 0.247).

The total energy is -7.564 eV/atom. Its total moment is 3.2 μB/f.u. The calculation puts the volume at 48 Å³/cell.

***

Record 13
Compound: Rb2CaPbCl6
Source: Alexandria
Functional: PBE
Structure: relaxed

The structure belongs to space group Fm-3m (No. 225); the cell edges are 11.143, 11.143 and 11.143 Å and the angles 90.00°, 90.00° and 90.00°. The inequivalent atoms are Rb at (0.250, 0.250, 0.250), Ca at (0.000, 0.000, 0.000), Pb at (0.000, 0.000, 0.500) and Cl at (0.000, 0.000, 0.243).

The total energy is -3.716 eV/atom. Its total moment is 0.0 μB/f.u. The calculation puts the volume at 1384 Å³/cell. The value obtained for the formation energy from raw total energies is -1.84 eV per atom.

***

Record 14
Compound: MnP2Ru
Source: Alexandria
Functional: PBE
Structure: relaxed

The structure belongs to space group Immm (No. 71); the cell edges are 2.814, 5.047 and 7.403 Å and the angles 90.00°, 90.00° and 90.00°. The inequivalent atoms are Mn at (0.000, 0.000, 0.000), P at (0.000, 0.500, 0.260) and Ru at (0.000, 0.000, 0.500).

The total energy is -7.234 eV/atom. Its total moment is 1.2 μB/f.u. The calculation puts the volume at 105 Å³/cell.

***

Record 15
Compound: NbTeIO2
Source: Alexandria
Functional: PBE
Structure: relaxed

The structure belongs to space group P4/mmm (No. 123); the cell edges are 4.120, 4.120 and 6.801 Å and the angles 90.00°, 90.00° and 90.00°. The inequivalent atoms are Nb at (0.000, 0.000, 0.000), Te at (0.500, 0.500, 0.500), I at (0.500, 0.500, 0.000) and O at (0.000, 0.500, 0.500).

The total energy is -4.663 eV/atom. Its total moment is 3.6 μB/f.u. The calculation puts the volume at 115 Å³/cell. The value obtained for the formation energy from raw total energies is 0.27 eV per atom.

***

Record 16
Compound: Np3Tl3InTe8
Source: Alexandria
Functional: PBE
Structure: relaxed

The structure belongs to space group R-3m (No. 166, hexagonal axes); the cell edges are 8.8899, 8.8899 and 24.5156 Å and the angles 90.00°, 90.00° and 120.00°. The inequivalent atoms are Np at (0.0000, 0.5000, 0.0000), Tl at (0.0000, 0.5000, 0.5000), In at (0.0000, 0.0000, 0.0000), Te at (0.0000, 0.0000, 0.2620) and Te at (0.0020, 0.5010, 0.2635).

The total energy is -5.402 eV/atom. Its total moment is 10.8 μB/f.u. The calculation puts the volume at 1678 Å³/cell. The value obtained for the formation energy from raw total energies is -0.48 eV per atom.

***

Record 17
Compound: GaCoNi
Source: Alexandria
Functional: PBE
Structure: relaxed

The structure belongs to space group P3m1 (No. 156); the cell edges are 4.0113, 4.0113 and 2.5835 Å and the angles 90.00°, 90.00° and 120.00°. The inequivalent atoms are Ga at (0.0000, 0.0000, 0.0000), Co at (0.3333, 0.6667, 0.3381) and Ni at (0.6667, 0.3333, 0.7417).

The total energy is -5.393 eV/atom. Its total moment is 1.4 μB/f.u. The calculation puts the volume at 36 Å³/cell.

***

Record 18
Compound: PrGa4Co3
Source: Alexandria
Functional: PBE
Structure: relaxed

The structure belongs to space group Cmmm (No. 65); the cell edges are 5.131, 7.910 and 6.846 Å and the angles 90.00°, 90.00° and 90.00°. The inequivalent atoms are Pr at (0.000, 0.000, 0.000), Ga at (0.250, 0.250, 0.307), Co at (0.000, 0.000, 0.500) and Co at (0.000, 0.500, 0.335).

The total energy is -4.900 eV/atom. Its total moment is 2.6 μB/f.u. The calculation puts the volume at 278 Å³/cell.

***

Record 19
Compound: TaBeAg
Source: Alexandria
Functional: PBE
Structure: relaxed

The structure belongs to space group I4mm (No. 107); the cell edges are 2.828, 2.828 and 10.973 Å and the angles 90.00°, 90.00° and 90.00°. The inequivalent atoms are Ta at (0.000, 0.000, 0.000), Be at (0.000, 0.000, 0.351) and Ag at (0.000, 0.000, 0.709).

The total energy is -6.034 eV/atom. Its total moment is 0.0 μB/f.u. The calculation puts the volume at 88 Å³/cell.

***

Record 20
Compound: Ba2AsH
Source: Alexandria
Functional: PBE
Structure: relaxed

The structure belongs to space group Fm-3m (No. 225); the cell edges are 7.775, 7.775 and 7.775 Å and the angles 90.00°, 90.00° and 90.00°. The inequivalent atoms are Ba at (0.250, 0.250, 0.250), As at (0.000, 0.000, 0.000) and H at (0.000, 0.000, 0.500).

The total energy is -3.718 eV/atom. Its total moment is 0.0 μB/f.u. The calculation puts the volume at 470 Å³/cell.

***

Record 21
Compound: Rb2AcSb2O6
Source: Alexandria
Functional: PBE
Structure: relaxed

The structure belongs to space group C2/m (No. 12); the cell edges are 10.668, 6.593 and 7.865 Å and the angles 90.00°, 116.41° and 90.00°. The inequivalent atoms are Rb at (0.205, 0.000, 0.166), Ac at (0.000, 0.000, 0.500), Sb at (0.065, 0.500, 0.226), O at (0.038, 0.266, 0.749) and O at (0.249, 0.500, 0.441).

The total energy is -5.841 eV/atom. Its total moment is 1.0 μB/f.u. The calculation puts the volume at 495 Å³/cell. The value obtained for the formation energy from raw total energies is -1.84 eV per atom.

***

Record 22
Compound: InRePb2
Source: Alexandria
Functional: PBE
Structure: relaxed

The structure belongs to space group I4/mmm (No. 139); the cell edges are 4.656, 4.656 and 8.739 Å and the angles 90.00°, 90.00° and 90.00°. The inequivalent atoms are In at (0.000, 0.000, 0.000), Re at (0.000, 0.000, 0.500) and Pb at (0.000, 0.500, 0.250).

The total energy is -4.702 eV/atom. Its total moment is 1.6 μB/f.u. The calculation puts the volume at 189 Å³/cell.

***

Record 23
Compound: TcHgGeOsW
Source: Alexandria
Functional: PBE
Structure: relaxed

The structure belongs to space group Imm2 (No. 44); the cell edges are 3.516, 4.248 and 11.799 Å and the angles 90.00°, 90.00° and 90.00°. The inequivalent atoms are Tc at (0.000, 0.000, 0.000), Hg at (0.000, 0.000, 0.395), Ge at (0.000, 0.500, 0.657), Os at (0.000, 0.000, 0.774) and W at (0.000, 0.500, 0.124).

The total energy is -7.588 eV/atom. Its total moment is 0.0 μB/f.u. The calculation puts the volume at 176 Å³/cell.

***

Record 24
Compound: UB6
Source: Alexandria
Functional: PBE
Structure: relaxed

The structure belongs to space group Im-3m (No. 229); the cell edges are 4.930, 4.930 and 4.930 Å and the angles 90.00°, 90.00° and 90.00°. The inequivalent atoms are U at (0.000, 0.000, 0.000) and B at (0.000, 0.250, 0.500).

The total energy is -7.559 eV/atom. Its total moment is 0.4 μB/f.u. The calculation puts the volume at 120 Å³/cell.

***

Record 25
Compound: AlTe3
Source: Alexandria
Functional: PBE
Structure: relaxed

The structure belongs to space group P-6m2 (No. 187); the cell edges are 3.9590, 3.9590 and 8.2980 Å and the angles 90.00°, 90.00° and 120.00°. The inequivalent atoms are Al at (0.0000, 0.0000, 0.0000), Te at (0.0000, 0.0000, 0.5000) and Te at (0.6667, 0.3333, 0.2068).

The total energy is -3.265 eV/atom. Its total moment is 0.0 μB/f.u. The calculation puts the volume at 113 Å³/cell. The value obtained for the formation energy from raw total energies is 0.03 eV per atom.